No. 1
A geometry-optimized AlWAu structure. Source: Alexandria, functional GGA-PBEsol.

a b c (Å): 4.288 4.288 4.288
angles (deg): 60.00 60.00 60.00
Sites, in units of the cell vectors:
Al: 0.000 0.000 0.000
W: 0.500 0.500 0.500
Au: 0.750 0.750 0.750

Properties
Size of the total moment (μB/cell): 1.8
Symmetry: F-43m
Calculated total energy (eV per atom): -6.5606

---

No. 2
A geometry-optimized Y2AlAu2 structure. Source: Alexandria, functional GGA-PBEsol.

a b c (Å): 7.552 7.552 3.831
angles (deg): 90.00 90.00 90.00
Sites, in units of the cell vectors:
Y: 0.171 0.329 0.000
Y: 0.329 0.829 0.000
Y: 0.671 0.171 0.000
Y: 0.829 0.671 0.000
Al: 0.000 0.000 0.500
Al: 0.500 0.500 0.500
Au: 0.133 0.633 0.500
Au: 0.367 0.133 0.500
Au: 0.633 0.867 0.500
Au: 0.867 0.367 0.500

Properties
Size of the total moment (μB/cell): 0.0
Symmetry: P4/mbm
Calculated total energy (eV per atom): -5.8952

---

No. 3
A geometry-optimized YAl2Au2 structure. Source: Alexandria, functional GGA-PBEsol.

a b c (Å): 5.943 5.943 5.943
angles (deg): 136.89 136.89 62.60
Sites, in units of the cell vectors:
Y: 0.000 0.000 0.000
Al: 0.377 0.377 0.000
Al: 0.623 0.623 0.000
Au: 0.250 0.750 0.500
Au: 0.750 0.250 0.500

Properties
Size of the total moment (μB/cell): 0.0
Symmetry: I4/mmm
Calculated total energy (eV per atom): -5.2230

---

No. 4
A geometry-optimized YAl2Au structure. Source: Alexandria, functional GGA-PBEsol.

a b c (Å): 5.581 5.581 5.581
angles (deg): 136.67 136.67 62.95
Sites, in units of the cell vectors:
Y: 0.000 0.000 0.000
Al: 0.250 0.750 0.500
Al: 0.750 0.250 0.500
Au: 0.500 0.500 0.000

Properties
Size of the total moment (μB/cell): 0.0
Symmetry: I4/mmm
Calculated total energy (eV per atom): -4.9999

---

No. 5
A geometry-optimized Y2Al2Au structure. Source: Alexandria, functional GGA-PBEsol.

a b c (Å): 6.790 6.790 4.643
angles (deg): 90.00 90.00 90.00
Sites, in units of the cell vectors:
Y: 0.170 0.330 0.000
Y: 0.330 0.830 0.000
Y: 0.670 0.170 0.000
Y: 0.830 0.670 0.000
Al: 0.136 0.636 0.500
Al: 0.364 0.136 0.500
Al: 0.636 0.864 0.500
Al: 0.864 0.364 0.500
Au: 0.000 0.000 0.500
Au: 0.500 0.500 0.500

Properties
Size of the total moment (μB/cell): 0.0
Symmetry: P4/mbm
Calculated total energy (eV per atom): -5.7673

---

No. 6
A geometry-optimized Y2AlAu structure. Source: Alexandria, functional GGA-PBEsol.

a b c (Å): 4.438 5.880 5.880
angles (deg): 37.63 90.00 90.00
Sites, in units of the cell vectors:
Y: 0.000 0.000 0.000
Y: 0.500 0.298 0.298
Al: 0.000 0.720 0.720
Au: 0.500 0.575 0.575

Properties
Size of the total moment (μB/cell): 0.0
Symmetry: Amm2
Calculated total energy (eV per atom): -6.0597